1.
Here is a relaxed NdGdIrPt crystal from Alexandria. Energies are from GGA-PBE.

Magnetization (μB/cell): 7.03
N(E_F) (states/eV per atom): 0.482
Raw total energy (eV per atom): -9.31
ρ (g/cm3): 12.93
ΔE_f (eV per atom): -0.877

Cell lengths 5.001, 5.001, 5.001 Å; angles 60.00, 60.00, 60.00 degrees
Atoms (fractional coordinates):
1 Nd 0.000 0.000 0.000
2 Gd 0.500 0.500 0.500
3 Ir 0.250 0.250 0.250
4 Pt 0.750 0.750 0.750

---

2.
Here is a relaxed NdGdIrRu crystal from Alexandria. Energies are from GGA-PBE.

Magnetization (μB/cell): 7.04
N(E_F) (states/eV per atom): 0.718
Raw total energy (eV per atom): -9.65
ρ (g/cm3): 11.62
ΔE_f (eV per atom): -0.405

Cell lengths 4.935, 4.935, 4.935 Å; angles 60.00, 60.00, 60.00 degrees
Atoms (fractional coordinates):
1 Nd 0.000 0.000 0.000
2 Gd 0.500 0.500 0.500
3 Ir 0.250 0.250 0.250
4 Ru 0.750 0.750 0.750

---

3.
Here is a relaxed NdGdTlIr crystal from Alexandria. Energies are from GGA-PBE.

Magnetization (μB/cell): 7.09
N(E_F) (states/eV per atom): 0.905
Raw total energy (eV per atom): -7.92
ρ (g/cm3): 11.61
ΔE_f (eV per atom): -0.398

Cell lengths 5.208, 5.208, 5.208 Å; angles 60.00, 60.00, 60.00 degrees
Atoms (fractional coordinates):
1 Nd 0.000 0.000 0.000
2 Gd 0.500 0.500 0.500
3 Tl 0.250 0.250 0.250
4 Ir 0.750 0.750 0.750

---

4.
Here is a relaxed GdNi4Ir crystal from Alexandria. Energies are from GGA-PBE.

Magnetization (μB/cell): 8.96
N(E_F) (states/eV per atom): 1.740
Raw total energy (eV per atom): -7.87
ρ (g/cm3): 11.71
ΔE_f (eV per atom): -0.194

Cell lengths 4.893, 4.893, 4.893 Å; angles 60.00, 60.00, 60.00 degrees
Atoms (fractional coordinates):
1 Gd 0.000 0.000 0.000
2 Ni 0.129 0.624 0.624
3 Ni 0.624 0.129 0.624
4 Ni 0.624 0.624 0.129
5 Ni 0.624 0.624 0.624
6 Ir 0.250 0.250 0.250

---

5.
Here is a relaxed GdNiIr crystal from Alexandria. Energies are from GGA-PBE.

Magnetization (μB/cell): 6.94
N(E_F) (states/eV per atom): 0.604
Raw total energy (eV per atom): -10.11
ρ (g/cm3): 11.84
ΔE_f (eV per atom): -0.534

Cell lengths 4.133, 4.133, 3.870 Å; angles 90.00, 90.00, 120.00 degrees
Atoms (fractional coordinates):
1 Gd 0.000 0.000 0.000
2 Ni 0.667 0.333 0.500
3 Ir 0.333 0.667 0.500

---

6.
Here is a relaxed GdPaNiIr crystal from Alexandria. Energies are from GGA-PBE.

Magnetization (μB/cell): 7.28
N(E_F) (states/eV per atom): 1.359
Raw total energy (eV per atom): -10.02
ρ (g/cm3): 13.13
ΔE_f (eV per atom): -0.461

Cell lengths 4.854, 4.854, 4.854 Å; angles 60.00, 60.00, 60.00 degrees
Atoms (fractional coordinates):
1 Gd 0.000 0.000 0.000
2 Pa 0.500 0.500 0.500
3 Ni 0.750 0.750 0.750
4 Ir 0.250 0.250 0.250

---

7.
Here is a relaxed PmGdNiIr crystal from Alexandria. Energies are from GGA-PBE.

Magnetization (μB/cell): 7.12
N(E_F) (states/eV per atom): 0.747
Raw total energy (eV per atom): -8.89
ρ (g/cm3): 10.97
ΔE_f (eV per atom): -0.523

Cell lengths 4.910, 4.910, 4.910 Å; angles 60.00, 60.00, 60.00 degrees
Atoms (fractional coordinates):
1 Pm 0.000 0.000 0.000
2 Gd 0.500 0.500 0.500
3 Ni 0.750 0.750 0.750
4 Ir 0.250 0.250 0.250

---

8.
Here is a relaxed PrGdNiIr crystal from Alexandria. Energies are from GGA-PBE.

Magnetization (μB/cell): 7.11
N(E_F) (states/eV per atom): 0.758
Raw total energy (eV per atom): -8.85
ρ (g/cm3): 10.64
ΔE_f (eV per atom): -0.472

Cell lengths 4.948, 4.948, 4.948 Å; angles 60.00, 60.00, 60.00 degrees
Atoms (fractional coordinates):
1 Pr 0.000 0.000 0.000
2 Gd 0.500 0.500 0.500
3 Ni 0.750 0.750 0.750
4 Ir 0.250 0.250 0.250

---

> Which value of ρ does entry 1 give?

12.93 g/cm3

---

> Which formula does entry 2 have?

NdGdIrRu

---

> Number 2 is which compound?

NdGdIrRu

---

> Which of these has the highest ΔE_f?

GdNi4Ir